Entry from Alexandria: a relaxed Li3Co2Si2O8 crystal (PBE with a Hubbard U).

POSCAR file:
```
Li3Co2Si2O8
1.0
-3.5906 3.7381 -0.7590
-3.7413 -3.5785 0.9708
0.2744 1.4208 6.2459
Si Co Li O
2 2 3 8
Direct
0.3195 0.3129 0.4945 Si
0.6799 0.6733 0.0034 Si
0.8199 0.1872 0.7587 Co
0.1803 0.8242 0.2431 Co
0.8084 0.1913 0.2489 Li
0.1869 0.8179 0.7527 Li
0.6921 0.6770 0.5070 Li
0.1863 0.1863 0.6964 O
0.7973 0.8031 0.7903 O
0.3727 0.7421 0.0157 O
0.7239 0.3709 0.0053 O
0.2720 0.6281 0.4791 O
0.1955 0.1741 0.2831 O
0.6332 0.2964 0.5010 O
0.8164 0.7998 0.2208 O
```

Fermi-level density of states   0.570 states/eV/f.u.
Magnetic moment   7.0 Bohr magnetons per cell
E_tot   -6.50 eV/atom
Distance to the lowest polymorph of the same formula   0.07 eV per formula unit
Space group   No. 1
Calculated density   3.0 Mg/m³